3
Lattice="-2.119 1.261 2.288 -4.092 -1.820 -2.786 2.214 -3.020 3.715" Properties=species:S:1:pos:R:3 comment="SmZrPa (PBE, optimized geometry)" vol_a3_per_cell=81.05 n_ef_per_ev_fu=4.9 mass_density_g_cm3=9.7 total_energy_ev_per_atom=-7.34 pbc="T T T"
Pa -0.353 0.210 0.381
Zr -2.345 -2.009 -0.236
Sm -1.300 -1.780 3.072